(1)
Here is a PBEsol-optimized structure of NbP2OsCl from Alexandria via LeMat-Bulk. Energies are from SCAN.

Output
* ΔE_f (raw): 0.835 eV per atom
* energy above the lowest structure with this stoichiometry: 0 meV/atom
* total magnetic moment: 2.91 μB per cell
* Fermi-level density of states: 3.28 states/eV per cell

a = 4.473 Å, b = 4.473 Å, c = 4.903 Å
α = 90.00°, β = 90.00°, γ = 90.00°
Fractional positions:
Nb  0.000  0.000  0.000
P  0.000  0.500  0.500
P  0.500  0.000  0.500
Os  0.500  0.500  0.500
Cl  0.500  0.500  0.000

(2)
Here is a PBEsol-optimized structure of CsPb3Au from Alexandria via LeMat-Bulk. Energies are from SCAN.

Output
* ΔE_f: 9.9 kJ per mole of atoms
* total magnetic moment: 0.00 μB per cell
* Fermi-level density of states: 5.02 states/eV per cell

a = 5.659 Å, b = 5.659 Å, c = 5.659 Å
α = 90.00°, β = 90.00°, γ = 90.00°
Fractional positions:
Cs  0.000  0.000  0.000
Pb  0.000  0.500  0.500
Pb  0.500  0.000  0.500
Pb  0.500  0.500  0.000
Au  0.500  0.500  0.500

(3)
Here is a PBEsol-optimized structure of CoNiW2 from Alexandria via LeMat-Bulk. Energies are from SCAN.

Output
* ΔE_f: 12.9 kJ per mole of atoms
* total magnetic moment: 0.00 μB per cell
* Fermi-level density of states: 3.01 states/eV per cell

a = 2.635 Å, b = 3.692 Å, c = 5.276 Å
α = 90.00°, β = 90.00°, γ = 90.00°
Fractional positions:
Co  0.000  0.000  0.000
Ni  0.000  0.000  0.500
W  0.500  0.500  0.248
W  0.500  0.500  0.752